(1)
## CuGeP3 (PBE)

Data for a relaxed structure of CuGeP3.

a b c (Å): 4.524 4.524 4.524
angles (deg): 90.00 90.00 90.00
Space group Pm-3m (No. 221)
Symmetry-distinct sites (fractional):
Cu: 0.000 0.000 0.000 (multiplicity 1)
Ge: 0.500 0.500 0.500 (multiplicity 1)
P: 0.000 0.000 0.500 (multiplicity 3)

Computed properties:
- Offset from the most stable computed form: 0.00 kJ per mole of atoms
- Formation energy from the elements: 869 meV/atom

=====

(2)
## SiSe (PBE)

Data for a relaxed structure of SiSe.

a b c (Å): 5.435 3.543 4.747
angles (deg): 90.00 90.00 90.00
Space group Pmma (No. 51)
Symmetry-distinct sites (fractional):
Si: 0.250 0.000 0.043 (multiplicity 2)
Se: 0.250 0.500 0.388 (multiplicity 2)

Computed properties:
- Formation energy from raw total energies: 0.10 eV per atom

=====

(3)
## Ac5Pd2Au5 (PBE)

Data for a relaxed structure of Ac5Pd2Au5.

a b c (Å): 17.225 4.320 12.369
angles (deg): 90.00 132.39 90.00
Space group C2/m (No. 12)
Symmetry-distinct sites (fractional):
Ac: 0.000 0.000 0.000 (multiplicity 2)
Ac: 0.105 0.000 0.410 (multiplicity 4)
Ac: 0.197 0.000 0.815 (multiplicity 4)
Pd: 0.131 0.500 0.253 (multiplicity 4)
Au: 0.000 0.500 0.500 (multiplicity 2)
Au: 0.077 0.500 0.860 (multiplicity 4)
Au: 0.238 0.500 0.671 (multiplicity 4)

Computed properties:
- Formation energy from the elements: -828 meV/atom

=====

(4)
## CaRu2SeN (PBE)

Data for a relaxed structure of CaRu2SeN.

a b c (Å): 3.929 3.929 6.148
angles (deg): 90.00 90.00 90.00
Space group P4/mmm (No. 123)
Symmetry-distinct sites (fractional):
Ca: 0.000 0.000 0.000 (multiplicity 1)
Ru: 0.000 0.500 0.500 (multiplicity 2)
Se: 0.500 0.500 0.000 (multiplicity 1)
N: 0.500 0.500 0.500 (multiplicity 1)

Computed properties:
- Formation energy from raw total energies: 0.05 eV per atom
- Offset from the most stable computed form: 0.00 kJ per mole of atoms

=====

Computed total magnetization, in the same sequence as the records: 0.00, 0.00, 0.00, 2.46 Bohr magnetons per cell.